# BaReIr | Alexandria | PBE | relaxed
# ΔH_f (0 K) (eV per atom): 0.41
# Total DFT energy (no corrections) (hartree per atom): -0.26957
# Polymorph energy (0 for the lowest one) (eV per atom): 0.238
data_BaReIr
_space_group_name_H-M_alt 'P n m a'
_space_group_IT_number 62
_cell_length_a 8.018
_cell_length_b 4.414
_cell_length_c 8.476
_cell_angle_alpha 90.00
_cell_angle_beta 90.00
_cell_angle_gamma 90.00
loop_
_space_group_symop_operation_xyz
'x,y,z'
'-x,-y,-z'
'-x+1/2,-y,z+1/2'
'x+1/2,y,-z+1/2'
'x+1/2,-y+1/2,-z+1/2'
'-x+1/2,y+1/2,z+1/2'
'-x,y+1/2,-z'
'x,-y+1/2,z'
loop_
_atom_site_label
_atom_site_type_symbol
_atom_site_fract_x
_atom_site_fract_y
_atom_site_fract_z
_atom_site_occupancy
Ba1 Ba 0.003 0.250 0.175 1
Re1 Re 0.146 0.750 0.433 1
Ir1 Ir 0.158 0.250 0.570 1